Entry from the Alexandria database: TiAl2Tc after structural relaxation (PBE).

Geometry as POSCAR:
```
TiAl2Tc
1.0
-1.9449 1.9449 3.9968
1.9449 -1.9449 3.9968
1.9449 1.9449 -3.9968
Ti Al Tc
1 2 1
direct
0.0000 0.0000 0.0000
0.2500 0.7500 0.5000
0.7500 0.2500 0.5000
0.5000 0.5000 0.0000
```

crystal system = tetragonal
E_form = -0.379 eV per atom
SG = I4/mmm (139)

Entry from the Alexandria database: YOsI2 after structural relaxation (PBE).

Geometry as POSCAR:
```
YOsI2
1.0
-2.5145 2.5145 8.8312
2.5145 -2.5145 8.8312
2.5145 2.5145 -8.8312
Y Os I
2 2 4
direct
0.0000 0.0000 0.0000
0.7500 0.2500 0.5000
0.2500 0.7500 0.5000
0.5000 0.5000 0.0000
0.1601 0.6250 0.0351
0.3750 0.4101 0.5351
0.5899 0.1250 0.9649
0.8750 0.8399 0.4649
```

crystal system = tetragonal
uncorrected formation energy = 423 meV per atom
SG = I-42d (122)

Entry from the Alexandria database: Be2CdW after structural relaxation (PBE).

Geometry as POSCAR:
```
Be2CdW
1.0
2.7825 0.0000 0.0000
0.0000 3.4120 0.0000
0.0000 0.0000 5.8379
Be Cd W
2 1 1
direct
0.0000 0.0000 0.1971
0.0000 0.0000 0.8029
0.5000 0.5000 0.5000
0.5000 0.5000 0.0000
```

crystal system = orthorhombic
E_form = 0.349 eV per atom
SG = Pmmm (47)

Entry from the Alexandria database: SrTl2SiO after structural relaxation (PBE).

Geometry as POSCAR:
```
SrTl2SiO
1.0
5.0691 0.0000 0.0000
0.0000 5.0691 0.0000
0.0000 0.0000 6.2686
Sr Tl Si O
1 2 1 1
direct
0.0000 0.0000 0.0000
0.0000 0.5000 0.5000
0.5000 0.0000 0.5000
0.0000 0.0000 0.5000
0.5000 0.5000 0.0000
```

crystal system = tetragonal
uncorrected formation energy = 199 meV per atom
SG = P4/mmm (123)

Entry from the Alexandria database: Ho4Cu3Ru after structural relaxation (PBE).

Geometry as POSCAR:
```
Ho4Cu3Ru
1.0
3.4177 0.0000 0.0000
0.0000 3.4177 0.0000
0.0000 0.0000 13.9103
Ho Cu Ru
4 3 1
direct
0.0000 0.0000 0.1194
0.0000 0.0000 0.3728
0.0000 0.0000 0.6272
0.0000 0.0000 0.8806
0.5000 0.5000 0.2500
0.5000 0.5000 0.5000
0.5000 0.5000 0.7500
0.5000 0.5000 0.0000
```

crystal system = tetragonal
E_form = -0.319 eV per atom
SG = P4/mmm (123)

Entry from the Alexandria database: AlZnIn2 after structural relaxation (PBE).

Geometry as POSCAR:
```
AlZnIn2
1.0
4.4275 -1.7316 0.0000
4.4275 1.7316 0.0000
-1.3690 0.0000 5.7435
Al Zn In
1 1 2
direct
0.0000 0.0000 0.0000
0.5000 0.5000 0.5000
0.2479 0.2479 0.7428
0.7521 0.7521 0.2572
```

crystal system = monoclinic
E_form = 0.150 eV per atom
SG = C2/m (12)

Entry from the Alexandria database: SrCu2Hg after structural relaxation (PBE).

Geometry as POSCAR:
```
SrCu2Hg
1.0
-2.3975 2.3975 9.1833
2.3975 -2.3975 9.1833
2.3975 2.3975 -9.1833
Sr Cu Hg
2 4 2
direct
0.3750 0.6250 0.7500
0.6250 0.3750 0.2500
0.0000 0.0000 0.0000
0.0000 0.0000 0.5000
0.0000 0.5000 0.0000
0.5000 0.0000 0.5000
0.1250 0.8750 0.2500
0.8750 0.1250 0.7500
```

crystal system = tetragonal
E_form = -0.010 eV per atom
SG = I4_1/amd (141)

Entry from the Alexandria database: Pm5Ga4Au after structural relaxation (PBE).

Geometry as POSCAR:
```
Pm5Ga4Au
1.0
3.6526 0.0000 0.0000
0.0000 3.6526 0.0000
0.0000 0.0000 18.5879
Pm Ga Au
5 4 1
direct
0.0000 0.0000 0.0000
0.0000 0.0000 0.1981
0.0000 0.0000 0.3976
0.0000 0.0000 0.6024
0.0000 0.0000 0.8019
0.5000 0.5000 0.0986
0.5000 0.5000 0.2984
0.5000 0.5000 0.7016
0.5000 0.5000 0.9014
0.5000 0.5000 0.5000
```

crystal system = tetragonal
E_form = -0.604 eV per atom
SG = P4/mmm (123)

Entry from the Alexandria database: La6MgTl5 after structural relaxation (PBE).

Geometry as POSCAR:
```
La6MgTl5
1.0
-2.8148 3.9691 8.4819
2.8148 -3.9691 8.4819
2.8148 3.9691 -8.4819
La Mg Tl
6 1 5
direct
0.0795 0.3312 0.7482
0.2453 0.0000 0.2453
0.4170 0.6688 0.7482
0.5830 0.3312 0.2517
0.7547 0.0000 0.7547
0.9205 0.6688 0.2517
0.5000 0.5000 0.0000
0.0000 0.5000 0.5000
0.1670 0.1670 0.0000
0.3416 0.8416 0.5000
0.6584 0.1584 0.5000
0.8330 0.8330 0.0000
```

crystal system = orthorhombic
E_form = -0.379 eV per atom
SG = Immm (71)

Entry from the Alexandria database: Pa3AsN3 after structural relaxation (PBE).

Geometry as POSCAR:
```
Pa3AsN3
1.0
3.3689 1.9450 6.7961
-3.3689 1.9450 6.7961
0.0000 -3.8901 6.7961
Pa As N
6 2 6
direct
0.0628 0.7424 0.4037
0.2576 0.5963 0.9372
0.4037 0.0628 0.7424
0.5963 0.9372 0.2576
0.7424 0.4037 0.0628
0.9372 0.2576 0.5963
0.1665 0.1665 0.1665
0.8335 0.8335 0.8335
0.0477 0.3740 0.7022
0.2978 0.9523 0.6260
0.3740 0.7022 0.0477
0.6260 0.2978 0.9523
0.7022 0.0477 0.3740
0.9523 0.6260 0.2978
```

crystal system = trigonal
uncorrected formation energy = -1494 meV per atom
SG = R-3 (148)

Entry from the Alexandria database: ErTh2Ru after structural relaxation (PBE).

Geometry as POSCAR:
```
ErTh2Ru
1.0
1.9051 1.0999 10.2250
-1.9051 1.0999 10.2250
0.0000 -2.1999 10.2250
Er Th Ru
1 2 1
direct
0.0000 0.0000 0.0000
0.1112 0.1112 0.1112
0.8888 0.8888 0.8888
0.5000 0.5000 0.5000
```

crystal system = trigonal
E_form = 0.097 eV per atom
SG = R-3m (166)

Entry from the Alexandria database: Ni4IrRh after structural relaxation (PBE).

Geometry as POSCAR:
```
Ni4IrRh
1.0
0.0000 3.3156 3.3156
3.3156 0.0000 3.3156
3.3156 3.3156 0.0000
Ni Ir Rh
4 1 1
direct
0.1249 0.1249 0.1249
0.1249 0.1249 0.6252
0.1249 0.6252 0.1249
0.6252 0.1249 0.1249
0.7500 0.7500 0.7500
0.5000 0.5000 0.5000
```

crystal system = cubic
E_form = 0.106 eV per atom
SG = F-43m (216)

| no. | total moment (μB/f.u.) |
| --- | --- |
| 1 | 0.0 |
| 2 | 0.0 |
| 3 | 0.0 |
| 4 | 0.0 |
| 5 | 0.0 |
| 6 | 0.0 |
| 7 | 0.0 |
| 8 | 0.0 |
| 9 | 0.0 |
| 10 | 0.0 |
| 11 | 0.0 |
| 12 | 4.9 |